No. 1
! LiCo2S4 | Alexandria | GGA-PBE | relaxed; values from VASP
! - Offset from the most stable computed form: 0.149 eV per atom
! - Formation energy without anion corrections: -0.383 eV per atom
! - VASP energy: -5.05 eV/atom
&SYSTEM
  ibrav = 0, nat = 14, ntyp = 3
/
ATOMIC_SPECIES
Li 6.94 Li.upf
Co 58.93 Co.upf
S 32.06 S.upf
CELL_PARAMETERS angstrom
-3.3059 3.4311 4.7432
3.3059 -3.4311 4.7432
3.3059 3.4311 -4.7432
ATOMIC_POSITIONS crystal
Li 0.5000 0.0000 0.0000
Li 0.5000 0.5000 0.5000
Co 0.0000 0.0000 0.0000
Co 0.1245 0.3745 0.7500
Co 0.5000 0.0000 0.5000
Co 0.8755 0.6255 0.2500
S 0.2328 0.2392 0.9936
S 0.2439 0.2215 0.4776
S 0.2439 0.7664 0.0224
S 0.2544 0.7608 0.4936
S 0.7456 0.2392 0.5064
S 0.7561 0.2336 0.9776
S 0.7561 0.7785 0.5224
S 0.7672 0.7608 0.0064


No. 2
! CaMnPb2 | Alexandria | GGA-PBE | relaxed; values from VASP
! - VASP energy: -4.60 eV/atom
&SYSTEM
  ibrav = 0, nat = 4, ntyp = 3
/
ATOMIC_SPECIES
Ca 40.08 Ca.upf
Mn 54.94 Mn.upf
Pb 207.20 Pb.upf
CELL_PARAMETERS angstrom
-2.2419 2.2419 5.1929
2.2419 -2.2419 5.1929
2.2419 2.2419 -5.1929
ATOMIC_POSITIONS crystal
Ca 0.0000 0.0000 0.0000
Mn 0.2500 0.7500 0.5000
Pb 0.5000 0.5000 0.0000
Pb 0.7500 0.2500 0.5000


No. 3
! Tb2Y6Er3In | Alexandria | GGA-PBE | relaxed; values from VASP
! - VASP energy: -5.41 eV/atom
&SYSTEM
  ibrav = 0, nat = 12, ntyp = 4
/
ATOMIC_SPECIES
Tb 158.93 Tb.upf
Y 88.91 Y.upf
Er 167.26 Er.upf
In 114.82 In.upf
CELL_PARAMETERS angstrom
3.0455 -5.2796 0.0000
3.0455 5.2796 0.0000
-2.0416 0.0000 11.4714
ATOMIC_POSITIONS crystal
Tb 0.1661 0.8339 0.0000
Tb 0.8339 0.1661 0.0000
Y 0.0898 0.4179 0.7522
Y 0.2542 0.2542 0.2489
Y 0.4179 0.0898 0.7522
Y 0.5821 0.9102 0.2478
Y 0.7458 0.7458 0.7511
Y 0.9102 0.5821 0.2478
Er 0.0000 0.0000 0.5000
Er 0.3335 0.6665 0.5000
Er 0.6665 0.3335 0.5000
In 0.5000 0.5000 0.0000


No. 4
! TiNbC | Alexandria | GGA-PBE | relaxed; values from VASP
! - Offset from the most stable computed form: 0.014 eV per atom
! - VASP energy: -9.58 eV/atom
&SYSTEM
  ibrav = 0, nat = 3, ntyp = 3
/
ATOMIC_SPECIES
Ti 47.87 Ti.upf
Nb 92.91 Nb.upf
C 12.01 C.upf
CELL_PARAMETERS angstrom
3.0928 0.0000 0.0000
-1.5464 2.6784 0.0000
0.0000 0.0000 4.9499
ATOMIC_POSITIONS crystal
Ti 0.0000 0.0000 0.0000
Nb 0.6667 0.3333 0.5034
C 0.3333 0.6667 0.7625


No. 5
! Ti2PWAu | Alexandria | GGA-PBE | relaxed; values from VASP
! - VASP energy: -6.28 eV/atom
&SYSTEM
  ibrav = 0, nat = 5, ntyp = 4
/
ATOMIC_SPECIES
Ti 47.87 Ti.upf
P 30.97 P.upf
W 183.84 W.upf
Au 196.97 Au.upf
CELL_PARAMETERS angstrom
4.6831 0.0000 0.0000
0.0000 4.6831 0.0000
0.0000 0.0000 5.0800
ATOMIC_POSITIONS crystal
Ti 0.0000 0.5000 0.0000
Ti 0.5000 0.0000 0.0000
P 0.0000 0.0000 0.5000
W 0.5000 0.5000 0.0000
Au 0.5000 0.5000 0.5000


No. 6
! Tb8Ho6Sc | Alexandria | GGA-PBE | relaxed; values from VASP
! - Offset from the most stable computed form: 0.048 eV per atom
! - VASP energy: -4.53 eV/atom
&SYSTEM
  ibrav = 0, nat = 15, ntyp = 3
/
ATOMIC_SPECIES
Tb 158.93 Tb.upf
Ho 164.93 Ho.upf
Sc 44.96 Sc.upf
CELL_PARAMETERS angstrom
4.8220 2.7840 5.8632
-4.8220 2.7840 5.8632
0.0000 -5.5680 5.8632
ATOMIC_POSITIONS crystal
Tb 0.0887 0.0887 0.0887
Tb 0.1482 0.5689 0.2699
Tb 0.2699 0.1482 0.5689
Tb 0.4311 0.7301 0.8518
Tb 0.5689 0.2699 0.1482
Tb 0.7301 0.8518 0.4311
Tb 0.8518 0.4311 0.7301
Tb 0.9113 0.9113 0.9113
Ho 0.1154 0.7848 0.5659
Ho 0.2152 0.4341 0.8846
Ho 0.4341 0.8846 0.2152
Ho 0.5659 0.1154 0.7848
Ho 0.7848 0.5659 0.1154
Ho 0.8846 0.2152 0.4341
Sc 0.5000 0.5000 0.5000